No. 1
# PBE Tb3Nd2Pt4, relaxed
# final energy	-225.914	eV for the cell shown
# energy above the most stable polymorph in this dataset	0.142	eV/atom
# formation enthalpy at 0 K	-0.9877	eV per atom
# total magnetization	0.00	Bohr magnetons per cell
data_Tb3Nd2Pt4
_chemical_formula_sum 'Tb12 Nd8 Pt16'
_space_group_name_H-M_alt 'C m c e'
_space_group_IT_number 64
_space_group_name_Hall '-C 2ac 2'
_cell_length_a 7.432
_cell_length_b 15.720
_cell_length_c 7.812
_cell_angle_alpha 90.00
_cell_angle_beta 90.00
_cell_angle_gamma 90.00
loop_
_atom_site_label
_atom_site_type_symbol
_atom_site_fract_x
_atom_site_fract_y
_atom_site_fract_z
_atom_site_occupancy
Tb1 Tb 0.000 0.000 0.000 1
Tb2 Tb 0.250 0.210 0.250 1
Nd1 Nd 0.000 0.101 0.598 1
Pt1 Pt 0.000 0.196 0.951 1
Pt2 Pt 0.250 0.032 0.250 1


No. 2
# PBE La3PmPr2As6, relaxed
# final energy	-150.958	eV for the cell shown
# formation enthalpy at 0 K	-1.5408	eV per atom
# total magnetization	0.00	Bohr magnetons per cell
data_La3PmPr2As6
_chemical_formula_sum 'La6 Pm2 Pr4 As12'
_space_group_name_H-M_alt 'C 1 2/m 1'
_space_group_IT_number 12
_cell_length_a 18.874
_cell_length_b 4.333
_cell_length_c 8.662
_cell_angle_alpha 90.00
_cell_angle_beta 103.30
_cell_angle_gamma 90.00
loop_
_space_group_symop_operation_xyz
'x,y,z'
'-x,-y,-z'
'-x,y,-z'
'x,-y,z'
'x+1/2,y+1/2,z'
'-x+1/2,-y+1/2,-z'
'-x+1/2,y+1/2,-z'
'x+1/2,-y+1/2,z'
loop_
_atom_site_label
_atom_site_type_symbol
_atom_site_fract_x
_atom_site_fract_y
_atom_site_fract_z
_atom_site_occupancy
La1 La 0.000 0.000 0.000 1
La2 La 0.167 0.500 0.334 1
Pm1 Pm 0.000 0.000 0.500 1
Pr1 Pr 0.166 0.500 0.833 1
As1 As 0.000 0.500 0.254 1
As2 As 0.165 0.000 0.584 1
As3 As 0.167 0.000 0.082 1


Copy entry 1 word for word.
# PBE Tb3Nd2Pt4, relaxed
# final energy	-225.914	eV for the cell shown
# energy above the most stable polymorph in this dataset	0.142	eV/atom
# formation enthalpy at 0 K	-0.9877	eV per atom
# total magnetization	0.00	Bohr magnetons per cell
data_Tb3Nd2Pt4
_chemical_formula_sum 'Tb12 Nd8 Pt16'
_space_group_name_H-M_alt 'C m c e'
_space_group_IT_number 64
_space_group_name_Hall '-C 2ac 2'
_cell_length_a 7.432
_cell_length_b 15.720
_cell_length_c 7.812
_cell_angle_alpha 90.00
_cell_angle_beta 90.00
_cell_angle_gamma 90.00
loop_
_atom_site_label
_atom_site_type_symbol
_atom_site_fract_x
_atom_site_fract_y
_atom_site_fract_z
_atom_site_occupancy
Tb1 Tb 0.000 0.000 0.000 1
Tb2 Tb 0.250 0.210 0.250 1
Nd1 Nd 0.000 0.101 0.598 1
Pt1 Pt 0.000 0.196 0.951 1
Pt2 Pt 0.250 0.032 0.250 1


Q: Look up the formation enthalpy at 0 K of the second one.
A: -1.5408 eV per atom


Q: Which value of total magnetization does entry 2 give?
A: 0.00 Bohr magnetons per cell